PmGeMoO6 | Alexandria via LeMat-Bulk | GGA+U | relaxed; spin magnetization = 0.99 μB per formula unit; symmetry = P4_2nm; total DFT energy (no corrections) = -7.178 eV/atom
1.0
4.845 0.000 0.000
0.000 4.845 0.000
0.000 0.000 9.636
Pm Ge Mo O
2 2 2 12
Direct
0.500 0.500 0.170
0.000 0.000 0.670
0.500 0.500 0.831
0.000 0.000 0.331
0.500 0.500 0.503
0.000 0.000 0.003
0.219 0.781 0.477
0.781 0.219 0.477
0.281 0.281 0.977
0.719 0.719 0.977
0.172 0.828 0.171
0.828 0.172 0.171
0.328 0.328 0.671
0.672 0.672 0.671
0.775 0.225 0.850
0.225 0.775 0.850
0.725 0.725 0.350
0.275 0.275 0.350